Entry 1:
CsSiBr4: relaxed, GGA-PBE.

Calculated values
Uncorrected formation energy, meV/atom: -904
Symmetry: No. 82
Crystal system: tetragonal
VASP energy, eV/atom: -3.065

abc: 8.9044 8.9044 6.3494
angles: 90.00 90.00 90.00
Closest atoms and distances in Å follow each position.
Sites, in units of the cell vectors:
Cs  0.0000  0.0000  0.0000  8 Br 3.86-4.11
Cs  0.5000  0.5000  0.5000  8 Br 3.86-4.11
Si  0.0000  0.5000  0.7500  4 Br 2.41
Si  0.5000  0.0000  0.2500  4 Br 2.41
Br  0.1143  0.6949  0.5417  1 Si 2.41
Br  0.1949  0.3857  0.9583  1 Si 2.41
Br  0.3051  0.1143  0.4583  1 Si 2.41
Br  0.3857  0.8051  0.0417  1 Si 2.41
Br  0.6143  0.1949  0.0417  1 Si 2.41
Br  0.6949  0.8857  0.4583  1 Si 2.41
Br  0.8051  0.6143  0.9583  1 Si 2.41
Br  0.8857  0.3051  0.5417  1 Si 2.41

Entry 2:
Na2PrNdO4: relaxed, GGA-PBE.

Calculated values
Uncorrected formation energy, meV/atom: -2588
Symmetry: No. 10
Crystal system: monoclinic
VASP energy, eV/atom: -6.590

abc: 6.0190 3.6093 6.2516
angles: 90.00 110.25 90.00
Closest atoms and distances in Å follow each position.
Sites, in units of the cell vectors:
Na  0.0000  0.0000  0.0000  6 O 2.62
Na  0.0000  0.5000  0.5000  6 O 2.63
Pr  0.5000  0.0000  0.5000  6 O 2.42-2.43
Nd  0.5000  0.5000  0.0000  6 O 2.41
O  0.2825  0.5000  0.2590  1 Nd 2.41, 2 Pr 2.42, 3 Na 2.62-2.63
O  0.2830  0.0000  0.7629  2 Nd 2.41, 1 Pr 2.43, 3 Na 2.62-2.63
O  0.7170  0.0000  0.2371  2 Nd 2.41, 1 Pr 2.43, 3 Na 2.62-2.63
O  0.7175  0.5000  0.7410  1 Nd 2.41, 2 Pr 2.42, 3 Na 2.62-2.63

Entry 3:
TiInPbBr6: relaxed, GGA-PBE.

Calculated values
Uncorrected formation energy, meV/atom: -964
Symmetry: No. 149
Crystal system: trigonal
VASP energy, eV/atom: -3.673

abc: 7.4167 7.4167 6.9060
angles: 90.00 90.00 120.00
Closest atoms and distances in Å follow each position.
Sites, in units of the cell vectors:
Ti  0.0000  0.0000  0.0000  6 Br 2.61
In  0.3333  0.6667  0.5000  6 Br 3.33
Pb  0.6667  0.3333  0.0000  6 Br 3.04
Br  0.2896  0.0101  0.2225  1 Ti 2.61
Br  0.2896  0.2794  0.7775  1 Ti 2.61
Br  0.7206  0.0101  0.7775  1 Ti 2.61
Br  0.7206  0.7104  0.2225  1 Ti 2.61
Br  0.9899  0.2794  0.2225  1 Ti 2.61
Br  0.9899  0.7104  0.7775  1 Ti 2.61

Entry 4:
BaZnCoHg2: relaxed, GGA-PBE.

Calculated values
Symmetry: No. 123
Calculated formation energy, kJ/mol of formula units: -61
Crystal system: tetragonal
VASP energy, eV/atom: -2.308

abc: 5.1465 5.1465 4.7736
angles: 90.00 90.00 90.00
Closest atoms and distances in Å follow each position.
Sites, in units of the cell vectors:
Ba  0.0000  0.0000  0.0000  8 Hg 3.51, 4 Zn 3.64
Zn  0.5000  0.5000  0.0000  2 Co 2.39
Co  0.5000  0.5000  0.5000  2 Zn 2.39, 4 Hg 2.57
Hg  0.0000  0.5000  0.5000  2 Co 2.57
Hg  0.5000  0.0000  0.5000  2 Co 2.57